## P
Computed, not measured: a relaxed InSnBi crystal at the PBE-GGA level of DFT.

Structure (POSCAR):
```
InSnBi
1.0
-0.370 -2.941 -1.717
2.322 2.301 -1.025
5.915 -3.706 5.076
In Bi Sn
1 1 1
Direct
0.667 0.333 0.326
0.333 0.667 0.666
0.000 0.000 0.008
```

Values from the calculation:
Its magnetic moment is 0.00 μB per atom.

## Q
Computed, not measured: a relaxed InSnBi crystal at the PBE-GGA level of DFT.

Structure (POSCAR):
```
InSnBi
1.0
-4.270 -0.576 -3.029
-4.311 -2.320 1.941
-4.318 2.856 0.966
In Bi Sn
1 1 1
Direct
0.500 0.500 0.500
0.000 0.000 0.000
0.250 0.250 0.250
```

Values from the calculation:
Its magnetic moment is 0.00 μB per atom.

Order from most stable to least stable according to the calculation: P, Q